A plane-wave DFT calculation with PBE was carried out for a geometry-optimized Rb2SrZn2S4 structure.

Output
calculated volume = 27.35 Å³/atom
DFT total energy = -0.138 hartree per atom

Cell lengths 15.940, 4.107, 8.056 Å; angles 90.00, 111.03, 90.00 degrees
Space group C2/m (No. 12)
Symmetry-distinct sites (fractional):
Rb (0.125, 0.000, 0.048)
Sr (0.000, 0.000, 0.500)
Zn (0.173, 0.500, 0.470)
S (0.029, 0.500, 0.264)
S (0.209, 0.000, 0.655)